Crystalline MnPb2F2 at its relaxed geometry, computed with GGA+U.

a b c (Å): 7.857 7.857 3.176
angles (deg): 90.00 90.00 90.00
Each line ends with the local moment (μB).
Sites, in units of the cell vectors:
Pb1 0.194 0.694 0.500  -0.09
Pb2 0.694 0.806 0.500  -0.08
Pb3 0.306 0.194 0.500  -0.09
Pb4 0.806 0.306 0.500  -0.08
F1 0.124 0.376 0.000  -0.01
F2 0.624 0.124 0.000  -0.01
F3 0.876 0.624 0.000  -0.01
F4 0.376 0.876 0.000  -0.01
Mn1 0.500 0.500 0.000  4.49
Mn2 0.000 0.000 0.000  4.49

## Properties
- Crystal system: tetragonal
- Energy above the lowest structure with this stoichiometry: 0.024 eV/atom
- SG: No. 127
- Energy: -0.1715 hartree per atom